# PBE CdB3Br, optimized geometry
# DOS(E_F) = 2.41 states/eV per cell
# excess energy over the best structure of this formula in the dataset = 0.2596 eV/atom
data_CdB3Br
_chemical_formula_sum 'Cd1 B3 Br1'
_space_group_name_H-M_alt 'P m -3 m'
_space_group_IT_number 221
_space_group_name_Hall '-P 4 2 3'
_cell_length_a 4.2572
_cell_length_b 4.2572
_cell_length_c 4.2572
_cell_angle_alpha 90.00
_cell_angle_beta 90.00
_cell_angle_gamma 90.00
loop_
_atom_site_label
_atom_site_type_symbol
_atom_site_fract_x
_atom_site_fract_y
_atom_site_fract_z
Cd1 Cd 0.0000 0.0000 0.0000
B1 B 0.0000 0.5000 0.5000
Br1 Br 0.5000 0.5000 0.5000

---

# PBE Ca3Bi2, optimized geometry
# E_form = -0.770 eV per atom
# excess energy over the best structure of this formula in the dataset = 0.0636 eV/atom
data_Ca3Bi2
_chemical_formula_sum 'Ca18 Bi12'
_space_group_name_H-M_alt 'R -3 c'
_space_group_IT_number 167
_space_group_name_Hall '-R 3 2"c'
_cell_length_a 8.2603
_cell_length_b 8.2603
_cell_length_c 20.0850
_cell_angle_alpha 90.00
_cell_angle_beta 90.00
_cell_angle_gamma 120.00
loop_
_atom_site_label
_atom_site_type_symbol
_atom_site_fract_x
_atom_site_fract_y
_atom_site_fract_z
Ca1 Ca 0.0000 0.2799 0.2500
Bi1 Bi 0.0000 0.0000 0.1350